No. 1
# CrSnP2Pb, relaxed, DFT GGA-PBEsol
data_CrSnP2Pb
_cell_length_a 4.975
_cell_length_b 4.975
_cell_length_c 5.623
_cell_angle_alpha 90.00
_cell_angle_beta 90.00
_cell_angle_gamma 90.00
_symmetry_space_group_name_H-M 'P 1'
_symmetry_Int_Tables_number 1
_symmetry_space_group_name_Hall 'P 1'
loop_
_atom_site_label
_atom_site_type_symbol
_atom_site_fract_x
_atom_site_fract_y
_atom_site_fract_z
Cr1 Cr 0.000 0.000 0.000
Sn1 Sn 0.500 0.500 0.500
P1 P 0.000 0.500 0.500
P2 P 0.500 0.000 0.500
Pb1 Pb 0.500 0.500 0.000
# E_tot = -0.342 Ry per atom
# ρ = 5.2 Mg/m³
# energy relative to the elements = 1.37 eV/atom
# space group = No. 123

No. 2
# CrPPt3, relaxed, DFT GGA-PBEsol
data_CrPPt3
_cell_length_a 4.438
_cell_length_b 4.438
_cell_length_c 4.438
_cell_angle_alpha 90.00
_cell_angle_beta 90.00
_cell_angle_gamma 90.00
_symmetry_space_group_name_H-M 'P 1'
_symmetry_Int_Tables_number 1
_symmetry_space_group_name_Hall 'P 1'
loop_
_atom_site_label
_atom_site_type_symbol
_atom_site_fract_x
_atom_site_fract_y
_atom_site_fract_z
Cr1 Cr 0.000 0.000 0.000
P1 P 0.500 0.500 0.500
Pt1 Pt 0.000 0.500 0.500
Pt2 Pt 0.500 0.000 0.500
Pt3 Pt 0.500 0.500 0.000
# E_tot = -0.519 Ry per atom
# ρ = 12.7 Mg/m³
# energy relative to the elements = 0.32 eV/atom
# space group = No. 221

No. 3
# CrPPt2, relaxed, DFT GGA-PBEsol
data_CrPPt2
_cell_length_a 4.611
_cell_length_b 4.611
_cell_length_c 4.605
_cell_angle_alpha 119.88
_cell_angle_beta 119.88
_cell_angle_gamma 43.47
_symmetry_space_group_name_H-M 'P 1'
_symmetry_Int_Tables_number 1
_symmetry_space_group_name_Hall 'P 1'
loop_
_atom_site_label
_atom_site_type_symbol
_atom_site_fract_x
_atom_site_fract_y
_atom_site_fract_z
Cr1 Cr 0.000 0.000 0.000
P1 P 0.302 0.302 0.646
Pt1 Pt 0.601 0.601 0.599
Pt2 Pt 0.803 0.803 0.290
# E_tot = -0.566 Ry per atom
# ρ = 13.8 Mg/m³
# energy relative to the elements = -0.21 eV/atom
# space group = No. 8

No. 4
# CrP2Pt, relaxed, DFT GGA-PBEsol
data_CrP2Pt
_cell_length_a 2.739
_cell_length_b 2.739
_cell_length_c 7.252
_cell_angle_alpha 90.00
_cell_angle_beta 90.00
_cell_angle_gamma 90.00
_symmetry_space_group_name_H-M 'P 1'
_symmetry_Int_Tables_number 1
_symmetry_space_group_name_Hall 'P 1'
loop_
_atom_site_label
_atom_site_type_symbol
_atom_site_fract_x
_atom_site_fract_y
_atom_site_fract_z
Cr1 Cr 0.000 0.000 0.000
P1 P 0.000 0.000 0.497
P2 P 0.500 0.500 0.182
Pt1 Pt 0.500 0.500 0.743
# E_tot = -0.528 Ry per atom
# ρ = 9.4 Mg/m³
# energy relative to the elements = 0.01 eV/atom
# energy relative to the lowest polymorph listed for this composition = 5.09 kcal/mol of atoms
# space group = No. 99

No. 5
# Cr2PPt, relaxed, DFT GGA-PBEsol
data_Cr2PPt
_cell_length_a 4.554
_cell_length_b 4.554
_cell_length_c 4.554
_cell_angle_alpha 132.27
_cell_angle_beta 132.27
_cell_angle_gamma 69.81
_symmetry_space_group_name_H-M 'P 1'
_symmetry_Int_Tables_number 1
_symmetry_space_group_name_Hall 'P 1'
loop_
_atom_site_label
_atom_site_type_symbol
_atom_site_fract_x
_atom_site_fract_y
_atom_site_fract_z
Cr1 Cr 0.000 0.000 0.000
Cr2 Cr 0.750 0.250 0.500
P1 P 0.500 0.500 0.000
Pt1 Pt 0.250 0.750 0.500
# E_tot = -0.619 Ry per atom
# ρ = 10.8 Mg/m³
# energy relative to the elements = -0.11 eV/atom
# space group = No. 119

No. 6
# CrP2Pt, relaxed, DFT GGA-PBEsol
data_CrP2Pt
_cell_length_a 3.977
_cell_length_b 3.977
_cell_length_c 4.843
_cell_angle_alpha 100.18
_cell_angle_beta 100.18
_cell_angle_gamma 43.00
_symmetry_space_group_name_H-M 'P 1'
_symmetry_Int_Tables_number 1
_symmetry_space_group_name_Hall 'P 1'
loop_
_atom_site_label
_atom_site_type_symbol
_atom_site_fract_x
_atom_site_fract_y
_atom_site_fract_z
Cr1 Cr 0.000 0.000 0.000
P1 P 0.264 0.264 0.797
P2 P 0.736 0.736 0.203
Pt1 Pt 0.500 0.500 0.500
# E_tot = -0.545 Ry per atom
# ρ = 10.0 Mg/m³
# energy relative to the elements = -0.21 eV/atom
# energy relative to the lowest polymorph listed for this composition = 0.00 kcal/mol of atoms
# space group = No. 12

What is the ρ in the sixth record?
10.0 Mg/m³